VASP calculation (PBE-GGA) on a relaxed Th4NiTe2C crystal.

Cell: 3.962 7.171 7.803 Å, 107.38 90.00 90.00°
Sites, in units of the cell vectors:
C1 0.500 0.500 0.000
Te1 0.500 0.000 0.500
Th1 0.500 0.239 0.197
Th2 0.500 0.761 0.803
Th3 0.000 0.710 0.192
Th4 0.000 0.290 0.808
Te2 0.000 0.500 0.500
Ni1 0.000 0.000 0.000

Properties
- SG = P2/m, No. 10
- formation energy from raw total energies (eV/atom) = -0.738